# 1
Density functional theory data (GGA-PBEsol) for an optimized crystal structure of LiAl3.

symmetry = Pmm2, No. 25
total DFT energy (no corrections) = -0.2654 Ry/atom
formation energy from the elements = -50 meV/atom

Lattice parameters (Å, degrees): 2.8010 4.6558 4.9246 90.00 90.00 90.00
Fractional coordinates of all 4 atoms:
1 Al 0.0000 0.0000 0.0070
2 Al 0.5000 0.0000 0.5043
3 Al 0.5000 0.5000 0.8270
4 Li 0.0000 0.5000 0.3283

# 2
Density functional theory data (GGA-PBEsol) for an optimized crystal structure of BaLiTc2.

symmetry = P4/mmm, No. 123
total DFT energy (no corrections) = -0.4263 Ry/atom
formation energy from the elements = 862 meV/atom
ΔE to the lowest computed polymorph = 0 meV per atom

Lattice parameters (Å, degrees): 3.3683 3.3683 7.0843 90.00 90.00 90.00
Fractional coordinates of all 4 atoms:
1 Li 0.5000 0.5000 0.5000
2 Tc 0.0000 0.0000 0.3513
3 Tc 0.0000 0.0000 0.6487
4 Ba 0.5000 0.5000 0.0000

Number 1 is which compound? LiAl3